Entry 1:
LiHoGe4 | GGA-PBE | optimized geometry Values from VASP.

Calculated values
ΔE_f: -25.85 kJ/mol of atoms
uncorrected energy: -4.43 eV/atom

The structure in Quantum ESPRESSO input format:
```
&SYSTEM
  ibrav = 0, nat = 6, ntyp = 3
/
ATOMIC_SPECIES
Li 6.94 Li.upf
Ho 164.93 Ho.upf
Ge 72.64 Ge.upf
CELL_PARAMETERS angstrom
0.000 3.914 3.914
3.914 0.000 3.914
3.914 3.914 0.000
ATOMIC_POSITIONS crystal
Li 0.000 0.000 0.000
Ho 0.750 0.750 0.750
Ge 0.375 0.375 0.375
Ge 0.375 0.375 0.876
Ge 0.375 0.876 0.375
Ge 0.876 0.375 0.375
```

---

Entry 2:
LiHoGe2 | GGA-PBE | optimized geometry Values from VASP.

Calculated values
ΔE_f: -52.74 kJ/mol of atoms
energy above the most stable polymorph in this dataset: 60.3 meV per atom
uncorrected energy: -4.48 eV/atom

The structure in Quantum ESPRESSO input format:
```
&SYSTEM
  ibrav = 0, nat = 4, ntyp = 3
/
ATOMIC_SPECIES
Li 6.94 Li.upf
Ho 164.93 Ho.upf
Ge 72.64 Ge.upf
CELL_PARAMETERS angstrom
4.295 0.000 0.000
0.000 4.295 0.000
0.000 0.000 4.142
ATOMIC_POSITIONS crystal
Li 0.000 0.000 0.000
Ho 0.500 0.500 0.000
Ge 0.000 0.500 0.500
Ge 0.500 0.000 0.500
```

---

Entry 3:
LiHoGe2 | GGA-PBE | optimized geometry Values from VASP.

Calculated values
ΔE_f: -40.96 kJ/mol of atoms
energy above the most stable polymorph in this dataset: 182.5 meV per atom
uncorrected energy: -4.36 eV/atom

The structure in Quantum ESPRESSO input format:
```
&SYSTEM
  ibrav = 0, nat = 4, ntyp = 3
/
ATOMIC_SPECIES
Li 6.94 Li.upf
Ho 164.93 Ho.upf
Ge 72.64 Ge.upf
CELL_PARAMETERS angstrom
3.414 0.000 0.000
0.000 3.414 0.000
0.000 0.000 6.489
ATOMIC_POSITIONS crystal
Li 0.000 0.000 0.000
Ho 0.000 0.000 0.500
Ge 0.500 0.500 0.207
Ge 0.500 0.500 0.793
```

---

Entry 4:
Li2HoGe | GGA-PBE | optimized geometry Values from VASP.

Calculated values
ΔE_f: -30.95 kJ/mol of atoms
uncorrected energy: -3.58 eV/atom

The structure in Quantum ESPRESSO input format:
```
&SYSTEM
  ibrav = 0, nat = 4, ntyp = 3
/
ATOMIC_SPECIES
Li 6.94 Li.upf
Ho 164.93 Ho.upf
Ge 72.64 Ge.upf
CELL_PARAMETERS angstrom
0.000 3.233 3.233
3.233 0.000 3.233
3.233 3.233 0.000
ATOMIC_POSITIONS crystal
Li 0.250 0.250 0.250
Li 0.750 0.750 0.750
Ho 0.000 0.000 0.000
Ge 0.500 0.500 0.500
```

---

Entry 5:
Li2Ho2Ge3 | GGA-PBE | optimized geometry Values from VASP.

Calculated values
ΔE_f: -64.19 kJ/mol of atoms
uncorrected energy: -4.50 eV/atom

The structure in Quantum ESPRESSO input format:
```
&SYSTEM
  ibrav = 0, nat = 14, ntyp = 3
/
ATOMIC_SPECIES
Li 6.94 Li.upf
Ho 164.93 Ho.upf
Ge 72.64 Ge.upf
CELL_PARAMETERS angstrom
2.145 -9.127 0.000
2.145 9.127 0.000
0.000 0.000 6.810
ATOMIC_POSITIONS crystal
Li 0.193 0.807 0.562
Li 0.193 0.807 0.938
Li 0.807 0.193 0.062
Li 0.807 0.193 0.438
Ho 0.344 0.656 0.750
Ho 0.447 0.553 0.250
Ho 0.553 0.447 0.750
Ho 0.656 0.344 0.250
Ge 0.064 0.936 0.062
Ge 0.064 0.936 0.438
Ge 0.278 0.722 0.250
Ge 0.722 0.278 0.750
Ge 0.936 0.064 0.562
Ge 0.936 0.064 0.938
```

---

Entry 6:
LiHoGe2 | GGA-PBE | optimized geometry Values from VASP.

Calculated values
ΔE_f: -58.57 kJ/mol of atoms
energy above the most stable polymorph in this dataset: 0.0 meV per atom
uncorrected energy: -4.54 eV/atom

The structure in Quantum ESPRESSO input format:
```
&SYSTEM
  ibrav = 0, nat = 16, ntyp = 3
/
ATOMIC_SPECIES
Li 6.94 Li.upf
Ho 164.93 Ho.upf
Ge 72.64 Ge.upf
CELL_PARAMETERS angstrom
7.862 0.000 0.000
0.000 3.859 0.000
0.000 0.000 10.295
ATOMIC_POSITIONS crystal
Li 0.020 0.250 0.102
Li 0.480 0.750 0.602
Li 0.520 0.250 0.398
Li 0.980 0.750 0.898
Ho 0.132 0.750 0.361
Ho 0.368 0.250 0.861
Ho 0.632 0.750 0.139
Ho 0.868 0.250 0.639
Ge 0.151 0.750 0.691
Ge 0.237 0.750 0.058
Ge 0.263 0.250 0.558
Ge 0.349 0.250 0.191
Ge 0.651 0.750 0.809
Ge 0.737 0.750 0.442
Ge 0.763 0.250 0.942
Ge 0.849 0.250 0.309
```

---

Entry 7:
LiHoGe2 | GGA-PBE | optimized geometry Values from VASP.

Calculated values
ΔE_f: -38.71 kJ/mol of atoms
energy above the most stable polymorph in this dataset: 205.8 meV per atom
uncorrected energy: -4.33 eV/atom

The structure in Quantum ESPRESSO input format:
```
&SYSTEM
  ibrav = 0, nat = 4, ntyp = 3
/
ATOMIC_SPECIES
Li 6.94 Li.upf
Ho 164.93 Ho.upf
Ge 72.64 Ge.upf
CELL_PARAMETERS angstrom
0.000 3.430 3.430
3.430 0.000 3.430
3.430 3.430 0.000
ATOMIC_POSITIONS crystal
Li 0.000 0.000 0.000
Ho 0.500 0.500 0.500
Ge 0.250 0.250 0.250
Ge 0.750 0.750 0.750
```

---

Entry 8:
Li4HoGe2 | GGA-PBE | optimized geometry Values from VASP.

Calculated values
ΔE_f: -44.68 kJ/mol of atoms
uncorrected energy: -3.53 eV/atom

The structure in Quantum ESPRESSO input format:
```
&SYSTEM
  ibrav = 0, nat = 14, ntyp = 3
/
ATOMIC_SPECIES
Li 6.94 Li.upf
Ho 164.93 Ho.upf
Ge 72.64 Ge.upf
CELL_PARAMETERS angstrom
7.547 0.000 0.000
0.000 7.547 0.000
0.000 0.000 4.329
ATOMIC_POSITIONS crystal
Li 0.105 0.350 0.000
Li 0.150 0.605 0.500
Li 0.350 0.105 0.000
Li 0.395 0.850 0.500
Li 0.605 0.150 0.500
Li 0.650 0.895 0.000
Li 0.850 0.395 0.500
Li 0.895 0.650 0.000
Ho 0.000 0.000 0.500
Ho 0.500 0.500 0.000
Ge 0.210 0.790 0.000
Ge 0.290 0.290 0.500
Ge 0.710 0.710 0.500
Ge 0.790 0.210 0.000
```